A plane-wave DFT calculation with PBE-GGA was carried out for a geometry-optimized CdCuW2 structure.

Unit cell a=5.2032 b=5.2032 c=4.5640 alpha=76.07 beta=76.07 gamma=32.87
With the nearest neighbours (Å) after each atom.
Fractional coordinates of all 4 atoms:
Cd1 0.2500 0.2500 0.2500  4 Cu 2.72, 6 W 2.93-2.97, 2 Cd 2.94
Cu1 0.7500 0.7500 0.7500  4 Cd 2.72, 4 W 2.78, 2 Cu 2.94
W1 0.0110 0.0110 0.9878  6 W 2.68-2.94, 2 Cu 2.78, 3 Cd 2.93-2.97
W2 0.4890 0.4890 0.5122  6 W 2.68-2.94, 2 Cu 2.78, 3 Cd 2.93-2.97

The density of states at the Fermi level is 1.78 states/eV per cell. As for the calculated volume: 64.9 Å³/cell. For the total energy, the calculation gives -7.207 eV/atom. The magnetization is 0.000 μB/atom. For the formation energy, the calculation gives 0.52 eV per atom.